Compound: YTa2Br
Source: the Alexandria database
Functional: GGA-PBEsol
Structure: relaxed

CIF file:
```
data_YTa2Br
_symmetry_space_group_name_H-M 'R 3 m'
_symmetry_Int_Tables_number 160
_symmetry_space_group_name_Hall 'R 3 -2"'
_cell_length_a 3.3546
_cell_length_b 3.3546
_cell_length_c 26.5889
_cell_angle_alpha 90.00
_cell_angle_beta 90.00
_cell_angle_gamma 120.00
loop_
_atom_site_label
_atom_site_type_symbol
_atom_site_fract_x
_atom_site_fract_y
_atom_site_fract_z
_atom_site_occupancy
Y1 Y 0.0000 0.0000 0.0000 1
Ta1 Ta 0.0000 0.0000 0.4938 1
Ta2 Ta 0.0000 0.0000 0.7587 1
Br1 Br 0.0000 0.0000 0.2471 1
```

- Total energy: -8.391 eV per atom
- Energy relative to the elements, uncorrected: 57.8 meV/atom
- Relative energy among the computed polymorphs: 0 meV/atom